# 1
CrSb2Rh: PBEsol geometry, meta-GGA SCAN.

Geometry as CIF:
```
data_CrSb2Rh
_cell_length_a 3.226
_cell_length_b 3.226
_cell_length_c 7.530
_cell_angle_alpha 90.00
_cell_angle_beta 90.00
_cell_angle_gamma 90.00
_symmetry_space_group_name_H-M 'P 1'
_symmetry_Int_Tables_number 1
_symmetry_space_group_name_Hall 'P 1'
loop_
_atom_site_label
_atom_site_fract_x
_atom_site_fract_y
_atom_site_fract_z
Cr1 0.000 0.000 0.000
Sb1 0.000 0.000 0.396
Sb2 0.500 0.500 0.794
Rh1 0.500 0.500 0.196
```

The calculation puts the energy relative to the elements, uncorrected at -88.6 meV/atom. For the total energy, the calculation gives -31.758 eV per atom.

# 2
CrSbRh2: PBEsol geometry, meta-GGA SCAN.

Geometry as CIF:
```
data_CrSbRh2
_cell_length_a 4.001
_cell_length_b 4.001
_cell_length_c 3.729
_cell_angle_alpha 90.00
_cell_angle_beta 90.00
_cell_angle_gamma 90.00
_symmetry_space_group_name_H-M 'P 1'
_symmetry_Int_Tables_number 1
_symmetry_space_group_name_Hall 'P 1'
loop_
_atom_site_label
_atom_site_fract_x
_atom_site_fract_y
_atom_site_fract_z
Cr1 0.000 0.000 0.000
Sb1 0.500 0.500 0.000
Rh1 0.000 0.500 0.500
Rh2 0.500 0.000 0.500
```

The calculation puts the energy relative to the elements, uncorrected at -370.4 meV/atom. For the total energy, the calculation gives -31.167 eV per atom.

# 3
Cr2RhSe: PBEsol geometry, meta-GGA SCAN.

Geometry as CIF:
```
data_Cr2RhSe
_cell_length_a 7.829
_cell_length_b 7.829
_cell_length_c 7.829
_cell_angle_alpha 20.88
_cell_angle_beta 20.88
_cell_angle_gamma 20.88
_symmetry_space_group_name_H-M 'P 1'
_symmetry_Int_Tables_number 1
_symmetry_space_group_name_Hall 'P 1'
loop_
_atom_site_label
_atom_site_fract_x
_atom_site_fract_y
_atom_site_fract_z
Cr1 0.000 0.000 0.000
Cr2 0.262 0.262 0.262
Rh1 0.752 0.752 0.752
Se1 0.514 0.514 0.514
```

The calculation puts the energy relative to the elements, uncorrected at 278.0 meV/atom. For the total energy, the calculation gives -22.377 eV per atom.

# 4
Cr2RhSe: PBEsol geometry, meta-GGA SCAN.

Geometry as CIF:
```
data_Cr2RhSe
_cell_length_a 4.900
_cell_length_b 4.900
_cell_length_c 4.900
_cell_angle_alpha 145.79
_cell_angle_beta 128.68
_cell_angle_gamma 63.13
_symmetry_space_group_name_H-M 'P 1'
_symmetry_Int_Tables_number 1
_symmetry_space_group_name_Hall 'P 1'
loop_
_atom_site_label
_atom_site_fract_x
_atom_site_fract_y
_atom_site_fract_z
Cr1 0.225 0.225 0.000
Cr2 0.775 0.775 0.000
Rh1 0.500 0.000 0.500
Se1 0.000 0.500 0.500
```

The calculation puts the energy relative to the elements, uncorrected at 246.6 meV/atom. For the total energy, the calculation gives -22.408 eV per atom.

# 5
Cr2RhSe: PBEsol geometry, meta-GGA SCAN.

Geometry as CIF:
```
data_Cr2RhSe
_cell_length_a 2.820
_cell_length_b 2.820
_cell_length_c 6.318
_cell_angle_alpha 90.00
_cell_angle_beta 90.00
_cell_angle_gamma 90.00
_symmetry_space_group_name_H-M 'P 1'
_symmetry_Int_Tables_number 1
_symmetry_space_group_name_Hall 'P 1'
loop_
_atom_site_label
_atom_site_fract_x
_atom_site_fract_y
_atom_site_fract_z
Cr1 0.000 0.000 0.231
Cr2 0.000 0.000 0.769
Rh1 0.500 0.500 0.500
Se1 0.500 0.500 0.000
```

The calculation puts the energy relative to the elements, uncorrected at 194.7 meV/atom. For the total energy, the calculation gives -22.460 eV per atom.

# 6
CrSnRh2Se: PBEsol geometry, meta-GGA SCAN.

Geometry as CIF:
```
data_CrSnRh2Se
_cell_length_a 4.569
_cell_length_b 4.569
_cell_length_c 4.466
_cell_angle_alpha 90.00
_cell_angle_beta 90.00
_cell_angle_gamma 90.00
_symmetry_space_group_name_H-M 'P 1'
_symmetry_Int_Tables_number 1
_symmetry_space_group_name_Hall 'P 1'
loop_
_atom_site_label
_atom_site_fract_x
_atom_site_fract_y
_atom_site_fract_z
Cr1 0.000 0.000 0.000
Sn1 0.500 0.500 0.000
Rh1 0.000 0.500 0.500
Rh2 0.500 0.000 0.500
Se1 0.000 0.000 0.500
```

The calculation puts the energy relative to the elements, uncorrected at 330.8 meV/atom. For the total energy, the calculation gives -28.055 eV per atom.